Entry 1:
# Cs3Ag2Br2Cl3 GGA-PBE optimized geometry
# Symmetry: No. 139
# Uncorrected energy (eV/atom): -3.0208
# Formation energy without anion corrections (eV/f.u.): -13.06
data_Cs3Ag2Br2Cl3
_space_group_name_H-M_alt 'P 1'
_space_group_IT_number 1
_cell_length_a 5.2543
_cell_length_b 5.2543
_cell_length_c 14.3833
_cell_angle_alpha 100.52
_cell_angle_beta 100.52
_cell_angle_gamma 90.00
loop_
_space_group_symop_operation_xyz
'x,y,z'
loop_
_atom_site_label
_atom_site_type_symbol
_atom_site_fract_x
_atom_site_fract_y
_atom_site_fract_z
Ag1 Ag 0.2127 0.2127 0.4253
Ag2 Ag 0.7873 0.7873 0.5747
Br1 Br 0.2500 0.7500 0.5000
Br2 Br 0.7500 0.2500 0.5000
Cl1 Cl 0.8793 0.8793 0.7586
Cl2 Cl 0.5000 0.5000 0.0000
Cl3 Cl 0.1207 0.1207 0.2414
Cs1 Cs 0.3673 0.3673 0.7346
Cs2 Cs 0.0000 0.0000 0.0000
Cs3 Cs 0.6327 0.6327 0.2654

Entry 2:
# UHIr3 GGA-PBE optimized geometry
# Symmetry: No. 221
# Uncorrected energy (eV/atom): -8.5794
data_UHIr3
_space_group_name_H-M_alt 'P 1'
_space_group_IT_number 1
_cell_length_a 4.1079
_cell_length_b 4.1079
_cell_length_c 4.1079
_cell_angle_alpha 90.00
_cell_angle_beta 90.00
_cell_angle_gamma 90.00
loop_
_space_group_symop_operation_xyz
'x,y,z'
loop_
_atom_site_label
_atom_site_type_symbol
_atom_site_fract_x
_atom_site_fract_y
_atom_site_fract_z
Ir1 Ir 0.0000 0.0000 0.5000
Ir2 Ir 0.5000 0.0000 0.0000
Ir3 Ir 0.0000 0.5000 0.0000
H1 H 0.0000 0.0000 0.0000
U1 U 0.5000 0.5000 0.5000

Entry 3:
# CaNbGeCl2 GGA-PBE optimized geometry
# Symmetry: No. 123
# Uncorrected energy (eV/atom): -4.0739
# Formation energy without anion corrections (eV/f.u.): 0.01
data_CaNbGeCl2
_space_group_name_H-M_alt 'P 1'
_space_group_IT_number 1
_cell_length_a 4.7241
_cell_length_b 6.6755
_cell_length_c 4.7241
_cell_angle_alpha 90.00
_cell_angle_beta 90.00
_cell_angle_gamma 90.00
loop_
_space_group_symop_operation_xyz
'x,y,z'
loop_
_atom_site_label
_atom_site_type_symbol
_atom_site_fract_x
_atom_site_fract_y
_atom_site_fract_z
Cl1 Cl 0.0000 0.0000 0.5000
Cl2 Cl 0.5000 0.0000 0.0000
Nb1 Nb 0.0000 0.0000 0.0000
Ge1 Ge 0.5000 0.5000 0.5000
Ca1 Ca 0.0000 0.5000 0.0000

Entry 4:
# CaCd5Hg7 GGA-PBE optimized geometry
# Symmetry: No. 44
# Uncorrected energy (eV/atom): -0.7428
data_CaCd5Hg7
_space_group_name_H-M_alt 'P 1'
_space_group_IT_number 1
_cell_length_a 6.1492
_cell_length_b 7.8945
_cell_length_c 7.8945
_cell_angle_alpha 84.31
_cell_angle_beta 67.08
_cell_angle_gamma 67.08
loop_
_space_group_symop_operation_xyz
'x,y,z'
loop_
_atom_site_label
_atom_site_type_symbol
_atom_site_fract_x
_atom_site_fract_y
_atom_site_fract_z
Cd1 Cd 0.7607 0.7393 0.7393
Cd2 Cd 0.0036 0.4964 0.9982
Cd3 Cd 0.5018 0.4964 0.9982
Cd4 Cd 0.5018 0.9982 0.4964
Cd5 Cd 0.0036 0.9982 0.4964
Hg1 Hg 0.5050 0.1593 0.8306
Hg2 Hg 0.0008 0.6797 0.3188
Hg3 Hg 0.2466 0.2534 0.2534
Hg4 Hg 0.5050 0.8306 0.1593
Hg5 Hg 0.3368 0.6632 0.6632
Hg6 Hg 0.6370 0.3630 0.3630
Hg7 Hg 0.0008 0.3188 0.6797
Ca1 Ca 0.9964 0.0036 0.0036